(1)
# Ge2BiPd8, relaxed, DFT PBE
# SG = C2/m (12)
# energy of formation from the pure elements = -0.39 eV per atom
data_Ge2BiPd8
_chemical_formula_sum 'Ge2 Bi1 Pd8'
_space_group_name_H-M_alt 'P 1'
_space_group_IT_number 1
_cell_length_a 4.007
_cell_length_b 6.541
_cell_length_c 7.707
_cell_angle_alpha 110.80
_cell_angle_beta 105.07
_cell_angle_gamma 90.00
loop_
_space_group_symop_operation_xyz
'x,y,z'
loop_
_atom_site_label
_atom_site_fract_x
_atom_site_fract_y
_atom_site_fract_z
_atom_site_occupancy
Ge1 0.806 0.317 0.612 1
Ge2 0.194 0.683 0.388 1
Bi1 0.500 0.000 0.000 1
Pd1 0.403 0.522 0.807 1
Pd2 0.678 0.945 0.355 1
Pd3 0.811 0.707 0.623 1
Pd4 0.965 0.264 0.930 1
Pd5 0.189 0.293 0.377 1
Pd6 0.322 0.055 0.645 1
Pd7 0.597 0.478 0.193 1
Pd8 0.035 0.736 0.070 1



(2)
# SrNpN3, relaxed, DFT PBE
# SG = C2/m (12)
# energy relative to the elements, uncorrected = -22.7 kcal/mol of atoms
data_SrNpN3
_chemical_formula_sum 'Sr4 Np4 N12'
_space_group_name_H-M_alt 'P 1'
_space_group_IT_number 1
_cell_length_a 5.952
_cell_length_b 5.933
_cell_length_c 10.486
_cell_angle_alpha 106.81
_cell_angle_beta 90.00
_cell_angle_gamma 120.11
loop_
_space_group_symop_operation_xyz
'x,y,z'
loop_
_atom_site_label
_atom_site_fract_x
_atom_site_fract_y
_atom_site_fract_z
_atom_site_occupancy
Sr1 0.124 0.747 0.872 1
Sr2 0.377 0.253 0.628 1
Sr3 0.876 0.253 0.128 1
Sr4 0.623 0.747 0.372 1
Np1 0.000 0.500 0.500 1
Np2 0.500 0.500 0.000 1
Np3 0.250 0.000 0.250 1
Np4 0.750 0.000 0.750 1
N1 0.119 0.263 0.854 1
N2 0.856 0.737 0.646 1
N3 0.881 0.737 0.146 1
N4 0.144 0.263 0.354 1
N5 0.382 0.737 0.645 1
N6 0.644 0.263 0.855 1
N7 0.618 0.263 0.355 1
N8 0.356 0.737 0.145 1
N9 0.638 0.775 0.914 1
N10 0.863 0.225 0.586 1
N11 0.137 0.775 0.414 1
N12 0.362 0.225 0.086 1



(3)
# Cr2Ag, relaxed, DFT PBE
# SG = I4/mcm (140)
# energy of formation from the pure elements = 1.06 eV per atom
data_Cr2Ag
_chemical_formula_sum 'Cr4 Ag2'
_space_group_name_H-M_alt 'P 1'
_space_group_IT_number 1
_cell_length_a 5.342
_cell_length_b 5.342
_cell_length_c 5.342
_cell_angle_alpha 104.90
_cell_angle_beta 104.90
_cell_angle_gamma 119.06
loop_
_space_group_symop_operation_xyz
'x,y,z'
loop_
_atom_site_label
_atom_site_fract_x
_atom_site_fract_y
_atom_site_fract_z
_atom_site_occupancy
Cr1 0.343 0.157 0.500 1
Cr2 0.843 0.343 0.186 1
Cr3 0.157 0.657 0.814 1
Cr4 0.657 0.843 0.500 1
Ag1 0.250 0.250 0.000 1
Ag2 0.750 0.750 0.000 1



(4)
# KNa2P2, relaxed, DFT PBE
# SG = P2_1/m (11)
# energy of formation from the pure elements = -0.22 eV per atom
data_KNa2P2
_chemical_formula_sum 'K2 Na4 P4'
_space_group_name_H-M_alt 'P 1'
_space_group_IT_number 1
_cell_length_a 3.685
_cell_length_b 5.221
_cell_length_c 13.044
_cell_angle_alpha 97.24
_cell_angle_beta 90.00
_cell_angle_gamma 90.00
loop_
_space_group_symop_operation_xyz
'x,y,z'
loop_
_atom_site_label
_atom_site_fract_x
_atom_site_fract_y
_atom_site_fract_z
_atom_site_occupancy
K1 0.250 0.675 0.257 1
K2 0.750 0.325 0.743 1
Na1 0.250 0.856 0.871 1
Na2 0.750 0.144 0.129 1
Na3 0.250 0.256 0.518 1
Na4 0.750 0.744 0.482 1
P1 0.250 0.797 0.654 1
P2 0.750 0.203 0.346 1
P3 0.250 0.381 0.979 1
P4 0.750 0.619 0.021 1



(5)
# CaEuN, relaxed, DFT PBE
# SG = I4mm (107)
# energy relative to the elements, uncorrected = -8.1 kcal/mol of atoms
data_CaEuN
_chemical_formula_sum 'Ca1 Eu1 N1'
_space_group_name_H-M_alt 'P 1'
_space_group_IT_number 1
_cell_length_a 3.177
_cell_length_b 3.177
_cell_length_c 6.828
_cell_angle_alpha 103.45
_cell_angle_beta 103.45
_cell_angle_gamma 90.00
loop_
_space_group_symop_operation_xyz
'x,y,z'
loop_
_atom_site_label
_atom_site_fract_x
_atom_site_fract_y
_atom_site_fract_z
_atom_site_occupancy
Eu1 0.062 0.062 0.123 1
Ca1 0.273 0.273 0.546 1
N1 0.665 0.665 0.331 1



(6)
# CoSnH2, relaxed, DFT PBE
# SG = I-42d (122)
# E_tot = -4.174 eV per atom
data_CoSnH2
_chemical_formula_sum 'Co2 Sn2 H4'
_space_group_name_H-M_alt 'P 1'
_space_group_IT_number 1
_cell_length_a 4.449
_cell_length_b 4.449
_cell_length_c 5.414
_cell_angle_alpha 65.74
_cell_angle_beta 65.74
_cell_angle_gamma 90.00
loop_
_space_group_symop_operation_xyz
'x,y,z'
loop_
_atom_site_label
_atom_site_fract_x
_atom_site_fract_y
_atom_site_fract_z
_atom_site_occupancy
H1 0.412 0.125 0.250 1
H2 0.338 0.625 0.250 1
H3 0.375 0.588 0.750 1
H4 0.875 0.662 0.750 1
Co1 0.500 0.500 0.000 1
Co2 0.250 0.750 0.500 1
Sn1 0.000 0.000 0.000 1
Sn2 0.750 0.250 0.500 1



| no. | total moment (μB/cell) |
| --- | --- |
| 1 | 0.00 |
| 2 | 0.23 |
| 3 | 17.51 |
| 4 | 0.00 |
| 5 | 6.93 |
| 6 | 0.00 |